ThZnB | Alexandria via LeMat-Bulk | PBE-GGA | relaxed; crystal system = monoclinic; density = 8.89 Mg/m³; total magnetization = 0.00 μB/cell; formation enthalpy at 0 K = -4.3 kcal/mol of atoms
1.0
4.202 0.000 0.000
-2.101 4.196 0.113
0.000 -2.015 6.481
Zn B Th
2 2 2
direct
0.656 0.313 0.449 Zn
0.344 0.687 0.551 Zn
0.587 0.174 0.087 B
0.413 0.826 0.913 B
0.085 0.170 0.797 Th
0.915 0.830 0.203 Th